Record 1
Below is a relaxed LaNd3Sb2 crystal, with properties calculated at the GGA-PBE level.

```
LaNd3Sb2
1.0
9.467 -2.252 0.000
9.467 2.252 0.000
-4.402 0.000 9.112
La Nd Sb
2 6 4
Direct
0.112 0.112 0.123 La
0.888 0.888 0.877 La
0.055 0.055 0.675 Nd
0.312 0.312 0.111 Nd
0.352 0.352 0.528 Nd
0.648 0.648 0.472 Nd
0.688 0.688 0.889 Nd
0.945 0.945 0.325 Nd
0.245 0.245 0.717 Sb
0.490 0.490 0.155 Sb
0.510 0.510 0.845 Sb
0.755 0.755 0.283 Sb
```

The calculation puts the uncorrected formation energy at -0.758 eV/atom. For the calculated density, the calculation gives 6969 kg/m3. The space-group type is C2/m, No. 12.

---

Record 2
Below is a relaxed PmDy3Ho crystal, with properties calculated at the GGA-PBE level.

```
PmDy3Ho
1.0
3.622 0.000 0.000
0.000 11.603 0.000
-1.809 0.000 8.320
Pm Dy Ho
2 6 2
Direct
0.193 0.250 0.384 Pm
0.807 0.750 0.616 Pm
0.145 0.750 0.289 Dy
0.346 0.001 0.694 Dy
0.346 0.499 0.694 Dy
0.654 0.501 0.306 Dy
0.654 0.999 0.306 Dy
0.855 0.250 0.711 Dy
0.480 0.750 0.961 Ho
0.520 0.250 0.039 Ho
```

For the calculated density, the calculation gives 7575 kg/m3. The space-group type is P2_1/m, No. 11. The total energy comes out at -21.49 eV/f.u.

---

Record 3
Below is a relaxed Rb2Be4Pt3 crystal, with properties calculated at the GGA-PBE level.

```
Rb2Be4Pt3
1.0
0.000 5.177 6.509
3.273 0.000 6.509
3.273 5.177 0.000
Rb Be Pt
2 4 3
Direct
0.151 0.151 0.849 Rb
0.849 0.849 0.151 Rb
0.228 0.578 0.422 Be
0.422 0.772 0.228 Be
0.578 0.228 0.772 Be
0.772 0.422 0.578 Be
0.000 0.000 0.500 Pt
0.500 0.500 0.000 Pt
0.500 0.500 0.500 Pt
```

For the calculated density, the calculation gives 5964 kg/m3. The space-group type is Fmmm, No. 69. The total energy comes out at -33.91 eV/f.u.

---

Record 4
Below is a relaxed SrFe2C2 crystal, with properties calculated at the GGA-PBE level.

```
SrFe2C2
1.0
-1.759 1.759 5.230
1.759 -1.759 5.230
1.759 1.759 -5.230
Sr Fe C
1 2 2
Direct
0.000 0.000 0.000 Sr
0.250 0.750 0.500 Fe
0.750 0.250 0.500 Fe
0.323 0.323 0.000 C
0.677 0.677 0.000 C
```

For the calculated density, the calculation gives 5727 kg/m3. The space-group type is I4/mmm, No. 139. The total energy comes out at -37.34 eV/f.u.

---

Record 5
Below is a relaxed CeFe4Ni crystal, with properties calculated at the GGA-PBE level.

```
CeFe4Ni
1.0
0.000 3.499 3.499
3.499 0.000 3.499
3.499 3.499 0.000
Ce Fe Ni
1 4 1
Direct
0.000 0.000 0.000 Ce
0.376 0.376 0.376 Fe
0.376 0.376 0.872 Fe
0.376 0.872 0.376 Fe
0.872 0.376 0.376 Fe
0.750 0.750 0.750 Ni
```

For the calculated density, the calculation gives 8180 kg/m3. The space-group type is F-43m, No. 216. The total energy comes out at -45.24 eV/f.u.

---

Record 6
Below is a relaxed ZrSb2IrPb crystal, with properties calculated at the GGA-PBE level.

```
ZrSb2IrPb
1.0
5.426 0.000 0.000
0.000 5.426 0.000
0.000 0.000 5.608
Zr Sb Ir Pb
1 2 1 1
Direct
0.000 0.000 0.000 Zr
0.000 0.500 0.000 Sb
0.500 0.000 0.000 Sb
0.500 0.500 0.500 Ir
0.000 0.000 0.500 Pb
```

The calculation puts the uncorrected formation energy at 1.200 eV/atom. For the calculated density, the calculation gives 7383 kg/m3. The space-group type is P4/mmm, No. 123.

---

Record 7
Below is a relaxed PmAl2ZnAu5 crystal, with properties calculated at the GGA-PBE level.

```
PmAl2ZnAu5
1.0
4.888 0.000 0.000
0.000 4.888 0.000
0.000 0.000 7.747
Pm Al Zn Au
1 2 1 5
Direct
0.000 0.000 0.000 Pm
0.500 0.500 0.338 Al
0.500 0.500 0.662 Al
0.000 0.000 0.500 Zn
0.000 0.500 0.248 Au
0.000 0.500 0.752 Au
0.500 0.000 0.248 Au
0.500 0.000 0.752 Au
0.500 0.500 0.000 Au
```

For the calculated density, the calculation gives 11205 kg/m3. The space-group type is P4/mmm, No. 123. The total energy comes out at -32.67 eV/f.u.

---

Record 8
Below is a relaxed CsSnHg2Ir crystal, with properties calculated at the GGA-PBE level.

```
CsSnHg2Ir
1.0
5.496 0.000 0.000
0.000 5.496 0.000
0.000 0.000 5.077
Cs Sn Hg Ir
1 1 2 1
Direct
0.000 0.000 0.000 Cs
0.500 0.500 0.000 Sn
0.000 0.500 0.500 Hg
0.500 0.000 0.500 Hg
0.500 0.500 0.500 Ir
```

For the calculated density, the calculation gives 9150 kg/m3. The space-group type is P4/mmm, No. 123. The total energy comes out at -15.00 eV/f.u.